Version P
# BeFe2O4

BeFe2O4 after structural relaxation (GGA+U, Alexandria).

SG = Pnma (62)
Mass density = 4.30 g/cm³

a = 3.060 Å, b = 9.459 Å, c = 9.852 Å
α = 90.00°, β = 90.00°, γ = 90.00°
Fractional positions:
1 Fe 0.250 0.620 0.071
2 O 0.750 0.984 0.385
3 Be 0.750 0.338 0.620
4 O 0.250 0.516 0.885
5 O 0.250 0.501 0.367
6 Fe 0.250 0.613 0.693
7 Fe 0.750 0.387 0.307
8 O 0.750 0.757 0.017
9 Fe 0.250 0.113 0.807
10 O 0.250 0.745 0.244
11 Fe 0.250 0.120 0.429
12 O 0.250 0.001 0.133
13 O 0.750 0.257 0.483
14 O 0.750 0.755 0.744
15 O 0.250 0.743 0.517
16 O 0.750 0.499 0.633
17 O 0.750 0.255 0.756
18 Be 0.250 0.662 0.380
19 Fe 0.750 0.380 0.929
20 Be 0.750 0.838 0.880
21 O 0.250 0.243 0.983
22 O 0.750 0.999 0.867
23 Fe 0.750 0.880 0.571
24 Be 0.250 0.162 0.120
25 O 0.250 0.016 0.615
26 O 0.250 0.245 0.256
27 Fe 0.750 0.887 0.193
28 O 0.750 0.484 0.115

---

Version Q
# BeFe2O4

BeFe2O4 after structural relaxation (GGA+U, Alexandria).

SG = Pnma (62)
Mass density = 4.72 g/cm³

a = 4.569 Å, b = 5.749 Å, c = 9.894 Å
α = 90.00°, β = 90.00°, γ = 90.00°
Fractional positions:
1 Be 0.427 0.250 0.912
2 O 0.242 0.250 0.562
3 O 0.239 0.476 0.342
4 Fe 0.000 0.000 0.000
5 O 0.724 0.250 0.412
6 O 0.742 0.750 0.938
7 O 0.761 0.524 0.658
8 O 0.739 0.524 0.158
9 O 0.258 0.250 0.062
10 Fe 0.500 0.500 0.500
11 Be 0.573 0.750 0.088
12 O 0.239 0.024 0.342
13 Fe 0.991 0.250 0.726
14 Fe 0.009 0.750 0.274
15 Be 0.927 0.750 0.588
16 O 0.261 0.476 0.842
17 O 0.739 0.976 0.158
18 O 0.776 0.250 0.912
19 O 0.758 0.750 0.438
20 O 0.261 0.024 0.842
21 Fe 0.509 0.250 0.226
22 O 0.761 0.976 0.658
23 Be 0.073 0.250 0.412
24 O 0.224 0.750 0.088
25 O 0.276 0.750 0.588
26 Fe 0.000 0.500 0.000
27 Fe 0.491 0.750 0.774
28 Fe 0.500 0.000 0.500

---

Stability ranking, top entry: version P; the second entry is 0.137 eV/atom less favorable.

---

Version P
# BeFe2O

BeFe2O after structural relaxation (GGA+U, Alexandria).

SG = I-42d (122)
Mass density = 3.99 g/cm³

a = 5.604 Å, b = 5.604 Å, c = 5.371 Å
α = 58.55°, β = 58.55°, γ = 90.00°
Fractional positions:
1 Be 0.500 0.500 0.000
2 Be 0.250 0.750 0.500
3 Fe 0.375 0.323 0.750
4 Fe 0.073 0.625 0.250
5 O 0.000 0.000 0.000
6 O 0.750 0.250 0.500
7 Fe 0.677 0.125 0.250
8 Fe 0.875 0.927 0.750

---

Version Q
# BeFe2O

BeFe2O after structural relaxation (GGA+U, Alexandria).

SG = Fm-3m (225)
Mass density = 5.19 g/cm³

a = 3.956 Å, b = 3.956 Å, c = 3.956 Å
α = 60.00°, β = 60.00°, γ = 60.00°
Fractional positions:
1 Fe 0.750 0.750 0.750
2 Fe 0.250 0.250 0.250
3 Be 0.000 0.000 0.000
4 O 0.500 0.500 0.500

---

Stability ranking, top entry: version P; the second entry is 0.525 eV/atom less favorable.

---

Version P
# BeFeP2O

BeFeP2O after structural relaxation (GGA+U, Alexandria).

SG = P4/mmm (123)
Mass density = 3.09 g/cm³

a = 4.697 Å, b = 4.697 Å, c = 3.483 Å
α = 90.00°, β = 90.00°, γ = 90.00°
Fractional positions:
1 P 0.500 0.000 0.000
2 P 0.000 0.500 0.000
3 O 0.000 0.000 0.500
4 Be 0.500 0.500 0.500
5 Fe 0.000 0.000 0.000

---

Version Q
# BeFeP2O

BeFeP2O after structural relaxation (GGA+U, Alexandria).

SG = P4/mmm (123)
Mass density = 3.42 g/cm³

a = 4.910 Å, b = 4.910 Å, c = 2.880 Å
α = 90.00°, β = 90.00°, γ = 90.00°
Fractional positions:
1 P 0.000 0.500 0.000
2 Be 0.000 0.000 0.000
3 O 0.000 0.000 0.500
4 Fe 0.500 0.500 0.500
5 P 0.500 0.000 0.000

---

Stability ranking, top entry: version Q; the second entry is 0.701 eV/atom less favorable.